# 1
An optimized crystal structure of SmTe3, computed with PBE.

density of states at the Fermi level	1.6	states/eV per cell
density	6.74	Mg/m³
ΔE_f (raw)	-0.6397	eV/atom
space-group type	Pmm2
final energy	-4.176	eV per atom
size of the total moment	0.000	μB/atom

Geometry as extended XYZ:
```
4
Lattice="-0.1965 2.0788 -4.0280 1.4976 -3.7720 -2.0198 -6.0201 -1.9959 -0.7363" Properties=species:S:1:pos:R:3 pbc="T T T"
Te 0.4040 -0.2257 -2.6914
Te -2.6120 -1.2088 -3.0516
Te -1.7660 -4.1314 -2.0460
Sm 1.2517 -3.1526 -1.6881
```

***

# 2
An optimized crystal structure of Sm2Te, computed with PBE.

density of states at the Fermi level	2.6	states/eV per cell
density	7.72	Mg/m³
ΔE_f (raw)	-0.7840	eV/atom
space-group type	Fmmm
final energy	-4.977	eV per atom
size of the total moment	0.000	μB/atom

Geometry as extended XYZ:
```
3
Lattice="3.9539 0.0057 -0.0010 0.0057 3.9539 -0.0010 -1.9817 -1.9817 5.8963" Properties=species:S:1:pos:R:3 pbc="T T T"
Te 1.9798 1.9798 -0.0010
Sm -0.0007 -0.0007 1.8063
Sm 1.9785 1.9785 4.0880
```

***

# 3
An optimized crystal structure of SmTe5, computed with PBE.

density of states at the Fermi level	4.4	states/eV per cell
density	6.96	Mg/m³
ΔE_f (raw)	-0.3952	eV/atom
space-group type	Cmmm
final energy	-3.800	eV per atom
size of the total moment	0.000	μB/atom

Geometry as extended XYZ:
```
6
Lattice="4.7590 0.0000 0.0000 0.0000 4.1853 0.0000 0.0000 -2.0926 9.4438" Properties=species:S:1:pos:R:3 pbc="T T T"
Te 2.3795 2.0926 6.5536
Te 0.0000 2.0926 2.8100
Te 2.3795 2.0926 0.0000
Te 0.0000 0.0000 6.6339
Te 2.3795 0.0000 2.8902
Sm 0.0000 0.0000 0.0000
```